Entry 1:
Compound: CeBeNbN3
Source: Alexandria via LeMat-Bulk
Functional: PBE
Structure: relaxed

a b c (Å): 6.7598 3.1396 6.8765
angles (deg): 90.00 104.71 90.00
Sites, in units of the cell vectors:
Ce 0.1920 0.2500 0.2240
Ce 0.8080 0.7500 0.7760
Be 0.0853 0.2500 0.5972
Be 0.9148 0.7500 0.4028
Nb 0.3416 0.7500 0.8468
Nb 0.6584 0.2500 0.1532
N 0.1115 0.2500 0.8558
N 0.1737 0.7500 0.5239
N 0.4435 0.7500 0.1787
N 0.5565 0.2500 0.8213
N 0.8263 0.2500 0.4761
N 0.8885 0.7500 0.1442

Raw formation energy in eV per atom: -1.178
Magnetization in μB per formula unit: 0.00

=====

Entry 2:
Compound: Pr3Zn7Au4
Source: Alexandria via LeMat-Bulk
Functional: PBE
Structure: relaxed

a b c (Å): 8.4503 8.4503 9.2402
angles (deg): 122.63 122.63 31.05
Sites, in units of the cell vectors:
Pr 0.0000 0.0000 0.0000
Pr 0.2971 0.2971 0.2964
Pr 0.7029 0.7029 0.7036
Zn 0.0000 0.0000 0.5000
Zn 0.1367 0.1367 0.4265
Zn 0.3329 0.3329 0.9817
Zn 0.4992 0.4992 0.3151
Zn 0.5008 0.5008 0.6849
Zn 0.6671 0.6671 0.0183
Zn 0.8633 0.8633 0.5735
Au 0.1276 0.1276 0.8446
Au 0.3445 0.3445 0.7080
Au 0.6555 0.6555 0.2920
Au 0.8724 0.8724 0.1554

Magnetization in μB per formula unit: 0.00
DFT formation energy in eV per formula unit: -7.16

=====

Question: Which formula does entry 2 have?
Answer: Pr3Zn7Au4